# 1
First-principles (PBE-GGA) data for a geometry-optimized Ba3Np2O9 structure, as listed in the Alexandria database.

Cell: 7.8110 7.8110 7.8110 Å, 85.89 85.89 85.89°
With the nearest neighbours (Å) after each atom.
Element x y z (fractional)
Ba 0.4169 0.7500 0.0831  12 O 2.94-3.13
Ba 0.2500 0.9169 0.5831  12 O 2.94-3.13
Ba 0.9169 0.5831 0.2500  12 O 2.94-3.13
Ba 0.0831 0.4169 0.7500  12 O 2.94-3.13
Ba 0.7500 0.0831 0.4169  12 O 2.94-3.13
Ba 0.5831 0.2500 0.9169  12 O 2.94-3.13
Np 0.1437 0.1437 0.1437  6 O 1.99-2.20
Np 0.6437 0.6437 0.6437  6 O 1.99-2.20
Np 0.8563 0.8563 0.8563  6 O 1.99-2.20
Np 0.3563 0.3563 0.3563  6 O 1.99-2.20
O 0.7415 0.9198 0.0813  1 Np 1.99
O 0.0802 0.9187 0.2585  1 Np 1.99
O 0.2500 0.3985 0.1015  2 Np 2.20
O 0.5802 0.7585 0.4187  1 Np 1.99
O 0.6015 0.8985 0.7500  2 Np 2.20
O 0.8985 0.7500 0.6015  2 Np 2.20
O 0.2415 0.5813 0.4198  1 Np 1.99
O 0.5813 0.4198 0.2415  1 Np 1.99
O 0.9187 0.2585 0.0802  1 Np 1.99
O 0.0813 0.7415 0.9198  1 Np 1.99
O 0.4187 0.5802 0.7585  1 Np 1.99
O 0.3985 0.1015 0.2500  2 Np 2.20
O 0.7585 0.4187 0.5802  1 Np 1.99
O 0.1015 0.2500 0.3985  2 Np 2.20
O 0.4198 0.2415 0.5813  1 Np 1.99
O 0.7500 0.6015 0.8985  2 Np 2.20
O 0.9198 0.0813 0.7415  1 Np 1.99
O 0.2585 0.0802 0.9187  1 Np 1.99

Its energy relative to the elements, uncorrected is -39.21 eV per formula unit. Its space group is No. 167.

***

# 2
First-principles (PBE-GGA) data for a geometry-optimized HfSc3Pb structure, as listed in the Alexandria database.

Cell: 5.3520 5.3520 5.3520 Å, 90.00 90.00 90.00°
With the nearest neighbours (Å) after each atom.
Element x y z (fractional)
Pb 0.0000 0.0000 0.0000  6 Sc 2.68
Sc 0.0000 0.5000 0.0000  2 Pb 2.68
Sc 0.0000 0.0000 0.5000  2 Pb 2.68
Sc 0.5000 0.0000 0.0000  2 Pb 2.68
Hf 0.5000 0.5000 0.5000  12 Sc 3.78

The density of states at the Fermi level comes out at 5.532 states/eV per cell. The energy above the most stable polymorph in this dataset is 980 meV per atom. The energy of formation from the pure elements is 0.797 eV/atom. Its space group is No. 221.

***

# 3
First-principles (PBE-GGA) data for a geometry-optimized CdIn2Sb structure, as listed in the Alexandria database.

Cell: 3.5297 3.5297 8.6026 Å, 90.00 90.00 90.00°
With the nearest neighbours (Å) after each atom.
Element x y z (fractional)
Sb 0.0000 0.0000 0.5084  4 Cd 3.26, 4 In 3.33, 4 Sb 3.53
Cd 0.5000 0.5000 0.7514  4 In 3.22, 4 Sb 3.26, 4 Cd 3.53
In 0.0000 0.0000 0.9879  4 Cd 3.22, 8 In 3.38-3.53
In 0.5000 0.5000 0.2523  4 Sb 3.33, 8 In 3.38-3.53

The density of states at the Fermi level comes out at 2.304 states/eV per cell. Its energy relative to the elements, uncorrected is 0.29 eV per formula unit. The energy above the most stable polymorph in this dataset is 37 meV per atom. Its space group is No. 99.

***

# 4
First-principles (PBE-GGA) data for a geometry-optimized Sm3Cd5O12 structure, as listed in the Alexandria database.

Cell: 11.5984 11.5984 11.5984 Å, 109.47 109.47 109.47°
With the nearest neighbours (Å) after each atom.
Element x y z (fractional)
Sm 0.7500 0.3750 0.1250  8 O 2.46-2.48
Sm 0.8750 0.7500 0.1250  8 O 2.46-2.48
Sm 0.3750 0.7500 0.6250  8 O 2.46-2.48
Sm 0.2500 0.1250 0.3750  8 O 2.46-2.48
Sm 0.8750 0.1250 0.2500  8 O 2.46-2.48
Sm 0.3750 0.6250 0.2500  8 O 2.46-2.48
Sm 0.6250 0.3750 0.7500  8 O 2.46-2.48
Sm 0.1250 0.8750 0.7500  8 O 2.46-2.48
Sm 0.7500 0.8750 0.6250  8 O 2.46-2.48
Sm 0.6250 0.2500 0.3750  8 O 2.46-2.48
Sm 0.1250 0.2500 0.8750  8 O 2.46-2.48
Sm 0.2500 0.6250 0.8750  8 O 2.46-2.48
Cd 0.1250 0.3750 0.2500  4 O 2.15
Cd 0.0000 0.5000 0.0000  6 O 2.26
Cd 0.0000 0.0000 0.0000  6 O 2.26
Cd 0.3750 0.2500 0.1250  4 O 2.15
Cd 0.5000 0.0000 0.5000  6 O 2.26
Cd 0.5000 0.5000 0.0000  6 O 2.26
Cd 0.1250 0.7500 0.3750  4 O 2.15
Cd 0.7500 0.1250 0.8750  4 O 2.15
Cd 0.7500 0.6250 0.3750  4 O 2.15
Cd 0.3750 0.1250 0.7500  4 O 2.15
Cd 0.6250 0.8750 0.2500  4 O 2.15
Cd 0.5000 0.5000 0.5000  6 O 2.26
Cd 0.5000 0.0000 0.0000  6 O 2.26
Cd 0.0000 0.0000 0.5000  6 O 2.26
Cd 0.2500 0.3750 0.6250  4 O 2.15
Cd 0.2500 0.8750 0.1250  4 O 2.15
Cd 0.0000 0.5000 0.5000  6 O 2.26
Cd 0.8750 0.2500 0.6250  4 O 2.15
Cd 0.6250 0.7500 0.8750  4 O 2.15
Cd 0.8750 0.6250 0.7500  4 O 2.15
O 0.7214 0.1377 0.0521  2 Cd 2.15-2.26
O 0.3307 0.5521 0.4144  2 Cd 2.15-2.26
O 0.9479 0.3623 0.2786  2 Cd 2.15-2.26
O 0.5521 0.2214 0.1377  2 Cd 2.15-2.26
O 0.5837 0.7214 0.6693  2 Cd 2.15-2.26
O 0.9479 0.5856 0.1693  2 Cd 2.15-2.26
O 0.3307 0.7786 0.4163  2 Cd 2.15-2.26
O 0.0856 0.9163 0.1377  2 Cd 2.15-2.26
O 0.5856 0.9479 0.6693  2 Cd 2.15-2.26
O 0.7214 0.5837 0.1693  2 Cd 2.15-2.26
O 0.7786 0.4479 0.3623  2 Cd 2.15-2.26
O 0.8307 0.9144 0.0521  2 Cd 2.15-2.26
O 0.1377 0.7214 0.5521  2 Cd 2.15-2.26
O 0.3623 0.4144 0.0837  2 Cd 2.15-2.26
O 0.0837 0.9144 0.3623  2 Cd 2.15-2.26
O 0.4163 0.1377 0.5856  2 Cd 2.15-2.26
O 0.0837 0.1693 0.2214  2 Cd 2.15-2.26
O 0.4479 0.6693 0.0856  2 Cd 2.15-2.26
O 0.8307 0.9163 0.2786  2 Cd 2.15-2.26
O 0.1377 0.4163 0.0856  2 Cd 2.15-2.26
O 0.3623 0.9479 0.7786  2 Cd 2.15-2.26
O 0.5856 0.6377 0.4163  2 Cd 2.15-2.26
O 0.9144 0.8307 0.5521  2 Cd 2.15-2.26
O 0.7786 0.3307 0.9163  2 Cd 2.15-2.26
O 0.4144 0.3623 0.5837  2 Cd 2.15-2.26
O 0.0856 0.1693 0.4479  2 Cd 2.15-2.26
O 0.2214 0.6693 0.0837  2 Cd 2.15-2.26
O 0.1693 0.0837 0.7214  2 Cd 2.15-2.26
O 0.6377 0.0521 0.2214  2 Cd 2.15-2.26
O 0.8623 0.5837 0.9144  2 Cd 2.15-2.26
O 0.5521 0.3307 0.9144  2 Cd 2.15-2.26
O 0.5837 0.8623 0.4144  2 Cd 2.15-2.26
O 0.9163 0.8307 0.7786  2 Cd 2.15-2.26
O 0.9163 0.0856 0.6377  2 Cd 2.15-2.26
O 0.8623 0.2786 0.4479  2 Cd 2.15-2.26
O 0.1693 0.0856 0.9479  2 Cd 2.15-2.26
O 0.6377 0.5856 0.9163  2 Cd 2.15-2.26
O 0.4144 0.0521 0.3307  2 Cd 2.15-2.26
O 0.2786 0.4163 0.8307  2 Cd 2.15-2.26
O 0.2214 0.5521 0.6377  2 Cd 2.15-2.26
O 0.9144 0.0837 0.8623  2 Cd 2.15-2.26
O 0.6693 0.2214 0.5837  2 Cd 2.15-2.26
O 0.4479 0.7786 0.8623  2 Cd 2.15-2.26
O 0.0521 0.4144 0.8307  2 Cd 2.15-2.26
O 0.4163 0.2786 0.3307  2 Cd 2.15-2.26
O 0.0521 0.6377 0.7214  2 Cd 2.15-2.26
O 0.6693 0.4479 0.5856  2 Cd 2.15-2.26
O 0.2786 0.8623 0.9479  2 Cd 2.15-2.26

The density of states at the Fermi level comes out at 73.363 states/eV per cell. Its energy relative to the elements, uncorrected is -31.23 eV per formula unit. Its space group is No. 230.

***

# 5
First-principles (PBE-GGA) data for a geometry-optimized Cu2Re structure, as listed in the Alexandria database.

Cell: 4.2479 4.2479 5.0717 Å, 90.00 90.00 120.00°
With the nearest neighbours (Å) after each atom.
Element x y z (fractional)
Cu 0.0000 0.0000 0.0000  8 Cu 2.54-2.76, 6 Re 2.76
Cu 0.0000 0.0000 0.5000  8 Cu 2.54-2.76, 6 Re 2.76
Cu 0.3333 0.6667 0.2500  5 Re 2.45-2.54
Cu 0.6667 0.3333 0.7500  5 Re 2.45-2.54
Re 0.3333 0.6667 0.7500  5 Cu 2.45-2.54
Re 0.6667 0.3333 0.2500  5 Cu 2.45-2.54

The density of states at the Fermi level comes out at 7.668 states/eV per cell. The energy above the most stable polymorph in this dataset is 537 meV per atom. The energy of formation from the pure elements is 0.725 eV/atom. Its space group is No. 194.

***

# 6
First-principles (PBE-GGA) data for a geometry-optimized Na3TlPb6 structure, as listed in the Alexandria database.

Cell: 5.6083 9.2580 12.0658 Å, 107.87 90.00 90.00°
With the nearest neighbours (Å) after each atom.
Element x y z (fractional)
Na 0.7500 0.7949 0.3677  1 Tl 3.38, 9 Pb 3.45-3.62, 2 Na 3.49
Na 0.2500 0.2051 0.6323  1 Tl 3.38, 9 Pb 3.45-3.62, 2 Na 3.49
Na 0.7500 0.4102 0.7659  1 Tl 3.42, 8 Pb 3.43-3.65, 3 Na 3.49-3.56
Na 0.2500 0.5898 0.2341  1 Tl 3.42, 8 Pb 3.43-3.65, 3 Na 3.49-3.56
Na 0.7500 0.1985 0.9674  11 Pb 3.42-3.53, 1 Na 3.56
Na 0.2500 0.8015 0.0326  11 Pb 3.42-3.53, 1 Na 3.56
Tl 0.7500 0.5982 0.5622  2 Na 3.38-3.42, 2 Tl 3.43, 8 Pb 3.46-3.58
Tl 0.2500 0.4018 0.4378  2 Na 3.38-3.42, 2 Tl 3.43, 8 Pb 3.46-3.58
Pb 0.7500 0.5903 0.0599  5 Pb 3.36-3.51, 7 Na 3.43-3.62
Pb 0.2500 0.4097 0.9401  5 Pb 3.36-3.51, 7 Na 3.43-3.62
Pb 0.7500 0.9881 0.1647  4 Na 3.42-3.51, 8 Pb 3.45-3.53
Pb 0.2500 0.0119 0.8353  4 Na 3.42-3.51, 8 Pb 3.45-3.53
Pb 0.7500 0.0037 0.6654  6 Pb 3.42-3.47, 5 Na 3.46-3.58, 1 Tl 3.57
Pb 0.2500 0.9963 0.3346  6 Pb 3.42-3.47, 5 Na 3.46-3.58, 1 Tl 3.57
Pb 0.7500 0.1923 0.4572  5 Pb 3.38-3.47, 3 Tl 3.46-3.58, 4 Na 3.49-3.65
Pb 0.2500 0.8077 0.5428  5 Pb 3.38-3.47, 3 Tl 3.46-3.58, 4 Na 3.49-3.65
Pb 0.7500 0.3888 0.2630  5 Pb 3.38-3.53, 4 Na 3.44-3.58, 3 Tl 3.49-3.53
Pb 0.2500 0.6112 0.7370  5 Pb 3.38-3.53, 4 Na 3.44-3.58, 3 Tl 3.49-3.53
Pb 0.7500 0.8047 0.8650  7 Pb 3.43-3.51, 4 Na 3.46-3.48, 1 Tl 3.57
Pb 0.2500 0.1953 0.1350  7 Pb 3.43-3.51, 4 Na 3.46-3.48, 1 Tl 3.57

The density of states at the Fermi level comes out at 8.373 states/eV per cell. The energy of formation from the pure elements is -0.093 eV/atom. Its space group is No. 11.

***

# 7
First-principles (PBE-GGA) data for a geometry-optimized Sc2Pb2S structure, as listed in the Alexandria database.

Cell: 6.9313 6.9313 4.9251 Å, 90.00 90.00 90.00°
With the nearest neighbours (Å) after each atom.
Element x y z (fractional)
Pb 0.1569 0.6569 0.5000  6 Sc 3.00-3.34, 1 Pb 3.08
Pb 0.6569 0.8431 0.5000  6 Sc 3.00-3.34, 1 Pb 3.08
Pb 0.8431 0.3431 0.5000  6 Sc 3.00-3.34, 1 Pb 3.08
Pb 0.3431 0.1569 0.5000  6 Sc 3.00-3.34, 1 Pb 3.08
Sc 0.3325 0.8325 0.0000  2 S 2.58
Sc 0.8325 0.6675 0.0000  2 S 2.58
Sc 0.6675 0.1675 0.0000  2 S 2.58
Sc 0.1675 0.3325 0.0000  2 S 2.58
S 0.0000 0.0000 0.0000  4 Sc 2.58
S 0.5000 0.5000 0.0000  4 Sc 2.58

The density of states at the Fermi level comes out at 6.732 states/eV per cell. Its energy relative to the elements, uncorrected is -3.63 eV per formula unit. The energy above the most stable polymorph in this dataset is 130 meV per atom. Its space group is No. 127.

***

# 8
First-principles (PBE-GGA) data for a geometry-optimized BaMnAl2Cd structure, as listed in the Alexandria database.

Cell: 5.1072 6.3135 5.1072 Å, 90.00 90.00 90.00°
With the nearest neighbours (Å) after each atom.
Element x y z (fractional)
Al 0.0000 0.0000 0.5000  2 Cd 2.55
Al 0.5000 0.0000 0.0000  2 Cd 2.55
Mn 0.5000 0.5000 0.5000  4 Ba 3.61
Ba 0.0000 0.5000 0.0000  2 Cd 3.16
Cd 0.0000 0.0000 0.0000  4 Al 2.55

The density of states at the Fermi level comes out at 3.693 states/eV per cell. The energy of formation from the pure elements is 0.796 eV/atom. Its space group is No. 123.

***

Number 1: theoretical density 7.23 g/cm³. Number 2: theoretical density 5.64 g/cm³. Number 3: theoretical density 7.19 g/cm³. Number 4: theoretical density 6.66 g/cm³. Number 5: theoretical density 13.13 g/cm³. Number 6: theoretical density 8.45 g/cm³. Number 7: theoretical density 7.53 g/cm³. Number 8: theoretical density 3.62 g/cm³.